(1)
LaTa3Te: optimized geometry, PBE-GGA.

The structure in extended XYZ format:
```
5
Lattice="5.028 0.000 0.000 0.000 5.028 0.000 0.000 0.000 5.028" Properties=species:S:1:pos:R:3 pbc="T T T"
La 0.000 0.000 0.000
Ta 0.000 0.000 2.514
Ta 0.000 2.514 0.000
Ta 2.514 0.000 0.000
Te 2.514 2.514 2.514
```

Computed properties:
For the energy above the most stable polymorph in this dataset, the calculation gives 0.945 eV/atom. For the magnetic moment, the calculation gives 0.0000 μB/atom.

=====

(2)
Tb6YCd2: optimized geometry, PBE-GGA.

The structure in extended XYZ format:
```
18
Lattice="7.678 -5.705 0.000 7.678 5.705 0.000 -0.555 0.000 6.106" Properties=species:S:1:pos:R:3 pbc="T T T"
Tb 6.273 4.261 6.058
Tb 4.138 1.456 0.990
Tb 8.249 4.261 3.101
Tb 5.458 1.729 4.192
Tb 3.861 -1.456 4.043
Tb 9.064 1.729 4.967
Tb 5.736 -1.729 1.139
Tb 10.939 1.456 2.063
Tb 9.342 -1.729 1.914
Tb 6.551 -4.261 3.005
Tb 10.662 -1.456 5.115
Tb 8.527 -4.261 0.048
Y 7.539 1.141 1.526
Y 7.261 -1.141 4.579
Cd 2.188 1.405 3.620
Cd 2.466 -1.405 0.567
Cd 12.334 1.405 5.539
Cd 12.612 -1.405 2.486
```

Computed properties:
For the energy above the most stable polymorph in this dataset, the calculation gives 0.079 eV/atom. For the formation energy, the calculation gives -0.06 eV per atom. For the magnetic moment, the calculation gives 0.0000 μB/atom.

=====

(3)
DyThSc4: optimized geometry, PBE-GGA.

The structure in extended XYZ format:
```
6
Lattice="-2.643 3.289 4.610 2.643 -3.289 4.610 2.643 3.289 -4.610" Properties=species:S:1:pos:R:3 pbc="T T T"
Dy 0.000 0.000 0.000
Th 0.000 3.289 0.000
Sc 2.643 1.645 -1.539
Sc 2.643 1.645 1.539
Sc 0.000 1.644 3.072
Sc 0.000 1.644 6.149
```

Computed properties:
For the formation energy, the calculation gives 0.03 eV per atom. For the magnetic moment, the calculation gives 0.0000 μB/atom.

=====

(4)
Hf2CoHgAs: optimized geometry, PBE-GGA.

The structure in extended XYZ format:
```
5
Lattice="5.192 0.000 0.000 0.000 5.192 0.000 0.000 0.000 4.659" Properties=species:S:1:pos:R:3 pbc="T T T"
Hf 0.000 2.596 0.000
Hf 2.596 0.000 0.000
Co 0.000 0.000 2.329
Hg 0.000 0.000 0.000
As 2.596 2.596 2.329
```

Computed properties:
For the formation energy, the calculation gives 1.16 eV per atom. For the magnetic moment, the calculation gives 0.3346 μB/atom.

=====

(5)
PmCu2SiRh: optimized geometry, PBE-GGA.

The structure in extended XYZ format:
```
5
Lattice="-1.966 2.037 5.246 1.966 -2.037 5.246 1.966 2.037 -5.246" Properties=species:S:1:pos:R:3 pbc="T T T"
Pm 0.000 0.000 0.000
Cu 0.000 0.000 6.299
Cu 0.000 2.037 2.642
Si 0.000 0.000 3.926
Rh 1.966 0.000 2.635
```

Computed properties:
For the magnetic moment, the calculation gives 0.0000 μB/atom. The total energy is -28.30 eV for the cell shown.

=====

(6)
HgTePb2W: optimized geometry, PBE-GGA.

The structure in extended XYZ format:
```
5
Lattice="5.697 0.000 0.000 0.000 5.697 0.000 0.000 0.000 5.331" Properties=species:S:1:pos:R:3 pbc="T T T"
Hg 0.000 0.000 0.000
Te 2.848 2.848 2.665
Pb 0.000 2.848 0.000
Pb 2.848 0.000 0.000
W 0.000 0.000 2.665
```

Computed properties:
For the magnetic moment, the calculation gives 0.7828 μB/atom. The total energy is -17.05 eV for the cell shown.